Cs2RbHg2: PBEsol geometry, SCAN.

Output
**Raw total energy**: -46.72 eV/atom
**Fermi-level density of states**: 0.70 states/eV/atom
**Excess energy over the best structure of this formula in the dataset**: 0 meV/atom
**V**: 254.8 Å³ per cell
**Calculated density**: 4.9 g/cm³

a b c (Å): 5.859 5.859 8.501
angles (deg): 110.16 110.16 90.00
Fractional coordinates of all 5 atoms:
Cs1 0.250 0.750 0.500
Cs2 0.750 0.250 0.500
Hg1 0.404 0.404 0.808
Hg2 0.596 0.596 0.192
Rb1 0.000 0.000 0.000

MnNi6Sb: PBEsol geometry, SCAN.

Output
**Raw total energy**: -19.24 eV/atom
**Fermi-level density of states**: 0.57 states/eV/atom
**Raw formation energy**: -0.1746 eV per atom
**V**: 371.1 Å³ per cell
**Calculated density**: 9.5 g/cm³

a b c (Å): 6.219 6.219 10.180
angles (deg): 90.00 90.00 109.50
Last column: magnetic moment on the atom in μB.
Fractional coordinates of all 32 atoms:
Mn1 0.251 0.749 0.000  3.62
Mn2 0.749 0.251 0.000  3.62
Mn3 0.500 0.500 0.757  3.69
Mn4 0.500 0.500 0.243  3.69
Ni1 0.254 0.746 0.757  0.56
Ni2 0.872 0.617 0.879  0.66
Ni3 0.128 0.383 0.879  0.66
Ni4 0.746 0.254 0.757  0.56
Ni5 0.383 0.128 0.879  0.66
Ni6 0.617 0.872 0.879  0.66
Ni7 0.500 0.500 0.500  0.56
Ni8 0.133 0.378 0.630  0.41
Ni9 0.378 0.133 0.630  0.41
Ni10 0.254 0.746 0.243  0.56
Ni11 0.867 0.622 0.370  0.41
Ni12 0.133 0.378 0.370  0.41
Ni13 0.746 0.254 0.243  0.56
Ni14 0.378 0.133 0.370  0.41
Ni15 0.622 0.867 0.370  0.41
Ni16 0.500 0.500 0.000  0.76
Ni17 0.128 0.383 0.121  0.66
Ni18 0.383 0.128 0.121  0.66
Ni19 0.000 0.000 0.500  0.27
Ni20 0.622 0.867 0.630  0.41
Ni21 0.867 0.622 0.630  0.41
Ni22 0.000 0.000 0.000  0.51
Ni23 0.617 0.872 0.121  0.66
Ni24 0.872 0.617 0.121  0.66
Sb1 0.250 0.750 0.500  0.01
Sb2 0.750 0.250 0.500  0.01
Sb3 0.000 0.000 0.756  0.01
Sb4 0.000 0.000 0.244  0.01

SiIr3Pb: PBEsol geometry, SCAN.

Output
**Raw total energy**: -57.17 eV/atom
**Fermi-level density of states**: 0.85 states/eV/atom
**Excess energy over the best structure of this formula in the dataset**: 1973 meV/atom
**Raw formation energy**: 2.6488 eV per atom
**V**: 118.0 Å³ per cell
**Calculated density**: 11.4 g/cm³

a b c (Å): 4.905 4.905 4.905
angles (deg): 90.00 90.00 90.00
Last column: magnetic moment on the atom in μB.
Fractional coordinates of all 5 atoms:
Pb1 0.000 0.000 0.000  -0.03
Si1 0.500 0.500 0.500  0.02
Ir1 0.000 0.500 0.000  0.82
Ir2 0.000 0.000 0.500  0.82
Ir3 0.500 0.000 0.000  0.82

TlCuF3: PBEsol geometry, SCAN.

Output
**Raw total energy**: -21.46 eV/atom
**Fermi-level density of states**: 0.20 states/eV/atom
**Raw formation energy**: -1.8225 eV per atom
**V**: 66.8 Å³ per cell
**Calculated density**: 8.1 g/cm³

a b c (Å): 4.057 4.057 4.057
angles (deg): 90.00 90.00 90.00
Last column: magnetic moment on the atom in μB.
Fractional coordinates of all 5 atoms:
Tl1 0.500 0.500 0.500  0.00
Cu1 0.000 0.000 0.000  0.78
F1 0.000 0.500 0.000  0.08
F2 0.000 0.000 0.500  0.08
F3 0.500 0.000 0.000  0.08

Li3InCu: PBEsol geometry, SCAN.

Output
**Raw total energy**: -11.04 eV/atom
**Fermi-level density of states**: 0.37 states/eV/atom
**V**: 95.2 Å³ per cell
**Calculated density**: 3.5 g/cm³

a b c (Å): 4.566 4.566 4.566
angles (deg): 90.00 90.00 90.00
Fractional coordinates of all 5 atoms:
Li1 0.000 0.500 0.000
Li2 0.000 0.000 0.500
Li3 0.500 0.000 0.000
Cu1 0.000 0.000 0.000
In1 0.500 0.500 0.500

Be2SnPt2: PBEsol geometry, SCAN.

Output
**Raw total energy**: -37.53 eV/atom
**Fermi-level density of states**: 0.27 states/eV/atom
**V**: 70.6 Å³ per cell
**Calculated density**: 12.4 g/cm³

a b c (Å): 3.361 3.361 6.686
angles (deg): 104.56 104.56 90.00
Fractional coordinates of all 5 atoms:
Be1 0.250 0.750 0.500
Be2 0.750 0.250 0.500
Sn1 0.000 0.000 0.000
Pt1 0.380 0.380 0.761
Pt2 0.620 0.620 0.239

LiMnN2: PBEsol geometry, SCAN.

Output
**Raw total energy**: -9.70 eV/atom
**Fermi-level density of states**: 0.24 states/eV/atom
**Excess energy over the best structure of this formula in the dataset**: 593 meV/atom
**Raw formation energy**: 0.1053 eV per atom
**V**: 29.1 Å³ per cell
**Calculated density**: 5.1 g/cm³

a b c (Å): 3.453 3.453 3.453
angles (deg): 60.00 60.00 60.00
Last column: magnetic moment on the atom in μB.
Fractional coordinates of all 4 atoms:
Mn1 0.500 0.500 0.500  3.07
Li1 0.000 0.000 0.000  0.00
N1 0.250 0.250 0.250  -0.36
N2 0.750 0.750 0.750  -0.36

LaZr2FeRh: PBEsol geometry, SCAN.

Output
**Raw total energy**: -29.81 eV/atom
**Fermi-level density of states**: 1.01 states/eV/atom
**V**: 104.5 Å³ per cell
**Calculated density**: 7.6 g/cm³

a b c (Å): 4.196 4.991 4.991
angles (deg): 90.00 90.00 90.00
Last column: magnetic moment on the atom in μB.
Fractional coordinates of all 5 atoms:
Rh1 0.500 0.500 0.500  -0.07
Fe1 0.500 0.000 0.000  1.08
Zr1 0.000 0.000 0.500  -0.03
Zr2 0.000 0.500 0.000  -0.03
La1 0.000 0.000 0.000  -0.06